# 1
DFT (PBE) results for a geometry-optimized SmTm8Sc6 structure.

Cell and atoms, written as CIF:
```
data_SmTm8Sc6
_symmetry_space_group_name_H-M 'R -3'
_symmetry_Int_Tables_number 148
_symmetry_space_group_name_Hall '-R 3'
_cell_length_a 8.3901
_cell_length_b 8.3901
_cell_length_c 21.1509
_cell_angle_alpha 90.00
_cell_angle_beta 90.00
_cell_angle_gamma 120.00
loop_
_atom_site_label
_atom_site_type_symbol
_atom_site_fract_x
_atom_site_fract_y
_atom_site_fract_z
Sm1 Sm 0.0000 0.0000 0.0000
Tm1 Tm 0.0000 0.0000 0.4165
Tm2 Tm 0.0520 0.2571 0.1346
Sc1 Sc 0.0056 0.7784 0.7112
```

---

# 2
DFT (PBE) results for a geometry-optimized Sm6Tm4Sc structure.

Cell and atoms, written as CIF:
```
data_Sm6Tm4Sc
_symmetry_space_group_name_H-M 'C m c m'
_symmetry_Int_Tables_number 63
_symmetry_space_group_name_Hall '-C 2c 2'
_cell_length_a 5.694
_cell_length_b 9.589
_cell_length_c 25.625
_cell_angle_alpha 90.00
_cell_angle_beta 90.00
_cell_angle_gamma 90.00
loop_
_atom_site_label
_atom_site_type_symbol
_atom_site_fract_x
_atom_site_fract_y
_atom_site_fract_z
Sm1 Sm 0.000 0.000 0.000
Sm2 Sm 0.000 0.030 0.250
Sm3 Sm 0.000 0.310 0.604
Sm4 Sm 0.000 0.361 0.183
Tm1 Tm 0.000 0.028 0.123
Tm2 Tm 0.000 0.344 0.044
Sc1 Sc 0.000 0.305 0.750
```

---

# 3
DFT (PBE) results for a geometry-optimized Sm2TmSc structure.

Cell and atoms, written as CIF:
```
data_Sm2TmSc
_symmetry_space_group_name_H-M 'R 3 m'
_symmetry_Int_Tables_number 160
_symmetry_space_group_name_Hall 'R 3 -2"'
_cell_length_a 3.5315
_cell_length_b 3.5315
_cell_length_c 33.7818
_cell_angle_alpha 90.00
_cell_angle_beta 90.00
_cell_angle_gamma 120.00
loop_
_atom_site_label
_atom_site_type_symbol
_atom_site_fract_x
_atom_site_fract_y
_atom_site_fract_z
Sm1 Sm 0.0000 0.0000 0.0000
Sm2 Sm 0.0000 0.0000 0.1708
Tm1 Tm 0.0000 0.0000 0.4184
Sc1 Sc 0.0000 0.0000 0.5857
```

---

# 4
DFT (PBE) results for a geometry-optimized Sm4Tm5Sc2 structure.

Cell and atoms, written as CIF:
```
data_Sm4Tm5Sc2
_symmetry_space_group_name_H-M 'C 1 2/m 1'
_symmetry_Int_Tables_number 12
_symmetry_space_group_name_Hall '-C 2y'
_cell_length_a 23.378
_cell_length_b 3.470
_cell_length_c 8.450
_cell_angle_alpha 90.00
_cell_angle_beta 94.96
_cell_angle_gamma 90.00
loop_
_atom_site_label
_atom_site_type_symbol
_atom_site_fract_x
_atom_site_fract_y
_atom_site_fract_z
Sm1 Sm 0.039 0.000 0.346
Sm2 Sm 0.224 0.500 0.825
Tm1 Tm 0.000 0.500 0.000
Tm2 Tm 0.129 0.000 0.040
Tm3 Tm 0.183 0.000 0.475
Sc1 Sc 0.088 0.500 0.697
```

---

# 5
DFT (PBE) results for a geometry-optimized Sm8Tm3Sc structure.

Cell and atoms, written as CIF:
```
data_Sm8Tm3Sc
_symmetry_space_group_name_H-M 'I -4 2 m'
_symmetry_Int_Tables_number 121
_symmetry_space_group_name_Hall 'I -4 2'
_cell_length_a 8.620
_cell_length_b 8.620
_cell_length_c 11.555
_cell_angle_alpha 90.00
_cell_angle_beta 90.00
_cell_angle_gamma 90.00
loop_
_atom_site_label
_atom_site_type_symbol
_atom_site_fract_x
_atom_site_fract_y
_atom_site_fract_z
Sm1 Sm 0.128 0.128 0.239
Sm2 Sm 0.237 0.237 0.974
Tm1 Tm 0.000 0.000 0.500
Tm2 Tm 0.000 0.500 0.250
Sc1 Sc 0.000 0.000 0.000
```

---

# 6
DFT (PBE) results for a geometry-optimized Sm3TmSc4 structure.

Cell and atoms, written as CIF:
```
data_Sm3TmSc4
_symmetry_space_group_name_H-M 'P m n 21'
_symmetry_Int_Tables_number 31
_symmetry_space_group_name_Hall 'P 2ac -2'
_cell_length_a 10.876
_cell_length_b 7.025
_cell_length_c 6.009
_cell_angle_alpha 90.00
_cell_angle_beta 90.00
_cell_angle_gamma 90.00
loop_
_atom_site_label
_atom_site_type_symbol
_atom_site_fract_x
_atom_site_fract_y
_atom_site_fract_z
Sm1 Sm 0.000 0.136 0.000
Sm2 Sm 0.250 0.135 0.347
Tm1 Tm 0.000 0.862 0.498
Sc1 Sc 0.000 0.386 0.509
Sc2 Sc 0.000 0.614 0.009
Sc3 Sc 0.248 0.613 0.338
```

---

# 7
DFT (PBE) results for a geometry-optimized Sm6Tm3Sc2 structure.

Cell and atoms, written as CIF:
```
data_Sm6Tm3Sc2
_symmetry_space_group_name_H-M 'I 4/m m m'
_symmetry_Int_Tables_number 139
_symmetry_space_group_name_Hall '-I 4 2'
_cell_length_a 4.728
_cell_length_b 4.728
_cell_length_c 32.114
_cell_angle_alpha 90.00
_cell_angle_beta 90.00
_cell_angle_gamma 90.00
loop_
_atom_site_label
_atom_site_type_symbol
_atom_site_fract_x
_atom_site_fract_y
_atom_site_fract_z
Sm1 Sm 0.000 0.000 0.197
Sm2 Sm 0.000 0.500 0.115
Tm1 Tm 0.000 0.000 0.304
Tm2 Tm 0.000 0.000 0.500
Sc1 Sc 0.000 0.000 0.043
```

---

# 8
DFT (PBE) results for a geometry-optimized Sm10Tm4Sc structure.

Cell and atoms, written as CIF:
```
data_Sm10Tm4Sc
_symmetry_space_group_name_H-M 'I 4/m m m'
_symmetry_Int_Tables_number 139
_symmetry_space_group_name_Hall '-I 4 2'
_cell_length_a 11.425
_cell_length_b 11.425
_cell_length_c 7.610
_cell_angle_alpha 90.00
_cell_angle_beta 90.00
_cell_angle_gamma 90.00
loop_
_atom_site_label
_atom_site_type_symbol
_atom_site_fract_x
_atom_site_fract_y
_atom_site_fract_z
Sm1 Sm 0.000 0.212 0.220
Sm2 Sm 0.000 0.500 0.250
Tm1 Tm 0.235 0.235 0.500
Sc1 Sc 0.000 0.000 0.500
```

---

# 9
DFT (PBE) results for a geometry-optimized Sm4TmSc2 structure.

Cell and atoms, written as CIF:
```
data_Sm4TmSc2
_symmetry_space_group_name_H-M 'P 4/m m m'
_symmetry_Int_Tables_number 123
_symmetry_space_group_name_Hall '-P 4 2'
_cell_length_a 7.899
_cell_length_b 7.899
_cell_length_c 3.518
_cell_angle_alpha 90.00
_cell_angle_beta 90.00
_cell_angle_gamma 90.00
loop_
_atom_site_label
_atom_site_type_symbol
_atom_site_fract_x
_atom_site_fract_y
_atom_site_fract_z
Sm1 Sm 0.217 0.217 0.000
Tm1 Tm 0.500 0.500 0.500
Sc1 Sc 0.000 0.500 0.500
```

---

# 10
DFT (PBE) results for a geometry-optimized SmTm7Sc3 structure.

Cell and atoms, written as CIF:
```
data_SmTm7Sc3
_symmetry_space_group_name_H-M 'P 3 m 1'
_symmetry_Int_Tables_number 156
_symmetry_space_group_name_Hall 'P 3 -2"'
_cell_length_a 6.8837
_cell_length_b 6.8837
_cell_length_c 8.1980
_cell_angle_alpha 90.00
_cell_angle_beta 90.00
_cell_angle_gamma 120.00
loop_
_atom_site_label
_atom_site_type_symbol
_atom_site_fract_x
_atom_site_fract_y
_atom_site_fract_z
Sm1 Sm 0.0000 0.0000 0.0000
Tm1 Tm 0.0028 0.5014 0.9925
Tm2 Tm 0.3308 0.1654 0.3420
Tm3 Tm 0.3333 0.6667 0.3354
Sc1 Sc 0.1677 0.3354 0.6658
```

---

# 11
DFT (PBE) results for a geometry-optimized Sm2Tm4Sc structure.

Cell and atoms, written as CIF:
```
data_Sm2Tm4Sc
_symmetry_space_group_name_H-M 'P b c a'
_symmetry_Int_Tables_number 61
_symmetry_space_group_name_Hall '-P 2ac 2ab'
_cell_length_a 5.512
_cell_length_b 12.203
_cell_length_c 12.969
_cell_angle_alpha 90.00
_cell_angle_beta 90.00
_cell_angle_gamma 90.00
loop_
_atom_site_label
_atom_site_type_symbol
_atom_site_fract_x
_atom_site_fract_y
_atom_site_fract_z
Sm1 Sm 0.002 0.070 0.154
Tm1 Tm 0.006 0.246 0.926
Tm2 Tm 0.007 0.149 0.680
Sc1 Sc 0.000 0.000 0.500
```

---

# 12
DFT (PBE) results for a geometry-optimized Sm6TmSc2 structure.

Cell and atoms, written as CIF:
```
data_Sm6TmSc2
_symmetry_space_group_name_H-M 'C m m m'
_symmetry_Int_Tables_number 65
_symmetry_space_group_name_Hall '-C 2 2'
_cell_length_a 9.116
_cell_length_b 17.278
_cell_length_c 3.582
_cell_angle_alpha 90.00
_cell_angle_beta 90.00
_cell_angle_gamma 90.00
loop_
_atom_site_label
_atom_site_type_symbol
_atom_site_fract_x
_atom_site_fract_y
_atom_site_fract_z
Sm1 Sm 0.179 0.166 0.000
Sm2 Sm 0.183 0.000 0.500
Tm1 Tm 0.000 0.500 0.000
Sc1 Sc 0.000 0.322 0.500
```

---

| no. | E_tot (eV/atom) | ΔE_f (meV per atom) |
| --- | --- | --- |
| 1 | -5.052 | 180 |
| 2 | -4.649 | 127 |
| 3 | -5.011 | 49 |
| 4 | -4.784 | 116 |
| 5 | -4.204 | 587 |
| 6 | -5.451 | 44 |
| 7 | -4.625 | 319 |
| 8 | -4.551 | 210 |
| 9 | -4.977 | 167 |
| 10 | -4.775 | 227 |
| 11 | -4.638 | 170 |
| 12 | -4.888 | 162 |